No. 1
A relaxed DyTmTl crystal, computed with GGA-PBE.

## Properties
For the density, the calculation gives 10.66 g/cm³. For the spin magnetization, the calculation gives 0.0 μB/cell. The energy above the most stable polymorph in this dataset comes out at 0.0 meV per atom.

Cell: 5.370 5.370 6.682 Å, 90.00 90.00 119.97°
Sites, in units of the cell vectors:
Dy 0.000 0.500 0.000
Dy 0.000 0.500 0.500
Tm 0.667 0.833 0.750
Tm 0.333 0.167 0.250
Tl 0.333 0.167 0.750
Tl 0.667 0.833 0.250

---

No. 2
A relaxed LaRh2F2 crystal, computed with GGA-PBE.

## Properties
For the density, the calculation gives 7.46 g/cm³. For the spin magnetization, the calculation gives 0.0 μB/cell. The energy above the most stable polymorph in this dataset comes out at 0.0 meV per atom. The uncorrected formation energy is -1.339 eV per atom.

Cell: 5.981 5.981 4.764 Å, 90.00 90.00 90.00°
Sites, in units of the cell vectors:
F 0.143 0.643 0.000
F 0.643 0.857 0.000
F 0.857 0.357 0.000
F 0.357 0.143 0.000
Rh 0.162 0.662 0.500
Rh 0.662 0.838 0.500
Rh 0.838 0.338 0.500
Rh 0.338 0.162 0.500
La 0.000 0.000 0.000
La 0.500 0.500 0.000

---

No. 3
A relaxed TbNd5Dy2Er crystal, computed with GGA-PBE.

## Properties
For the density, the calculation gives 7.37 g/cm³. For the spin magnetization, the calculation gives 0.0 μB/cell.

Cell: 5.651 10.599 10.714 Å, 90.00 90.00 105.46°
Sites, in units of the cell vectors:
Tb 0.801 0.602 0.511
Tb 0.199 0.398 0.011
Nd 0.386 0.771 0.022
Nd 0.720 0.441 0.812
Nd 0.483 0.966 0.744
Nd 0.297 0.594 0.706
Nd 0.984 0.968 0.518
Nd 0.614 0.229 0.522
Nd 0.280 0.559 0.312
Nd 0.517 0.034 0.244
Nd 0.703 0.406 0.206
Nd 0.016 0.032 0.018
Dy 0.885 0.771 0.811
Dy 0.112 0.224 0.739
Dy 0.115 0.229 0.311
Dy 0.888 0.776 0.239
Er 0.592 0.184 0.963
Er 0.408 0.816 0.463

---

For the records above, the corresponding uncorrected energy values read -4.064 -6.014 -4.551 eV/atom.